[1]
Entry from the Alexandria database: a relaxed structure of Nd5Ho2Tm3 (PBE-GGA).

Lattice parameters (Å, degrees): 9.995 9.997 9.156 108.14 108.13 115.45
Atoms (fractional coordinates):
1 Nd 0.521 0.771 0.542
2 Nd 0.617 0.874 0.239
3 Nd 0.479 0.229 0.458
4 Nd 0.122 0.365 0.239
5 Nd 0.020 0.270 0.540
6 Nd 0.878 0.635 0.761
7 Nd 0.229 0.479 0.958
8 Nd 0.980 0.730 0.460
9 Nd 0.383 0.126 0.761
10 Nd 0.771 0.521 0.042
11 Tm 0.273 0.023 0.046
12 Tm 0.780 0.222 0.751
13 Tm 0.727 0.977 0.954
14 Tm 0.529 0.471 0.249
15 Tm 0.471 0.529 0.751
16 Tm 0.220 0.778 0.249
17 Ho 0.023 0.966 0.241
18 Ho 0.719 0.276 0.241
19 Ho 0.977 0.034 0.759
20 Ho 0.281 0.724 0.759

**N(E_F)**: 1.722 states/eV per atom
**ΔH_f (0 K)**: 0.181 eV per atom
**Calculated density**: 7.7 g cm⁻³
**E above lowest polymorph**: 0 meV per atom
**Magnetic moment**: 0.00 μB/f.u.

---

[2]
Entry from the Alexandria database: a relaxed structure of La4TaTl (PBE-GGA).

Lattice parameters (Å, degrees): 6.399 6.399 6.399 60.00 60.00 60.00
Site moments in Bohr magnetons follow the coordinates.
Atoms (fractional coordinates):
1 La 0.376 0.376 0.376  -0.07
2 La 0.376 0.871 0.376  -0.07
3 La 0.871 0.376 0.376  -0.07
4 La 0.376 0.376 0.871  -0.07
5 Tl 0.000 0.000 0.000  -0.01
6 Ta 0.750 0.750 0.750  0.95

**N(E_F)**: 1.529 states/eV per atom
**ΔH_f (0 K)**: 0.657 eV per atom
**Calculated density**: 8.4 g cm⁻³
**Magnetic moment**: 1.14 μB/f.u.

---

[3]
Entry from the Alexandria database: a relaxed structure of Cs3Rb2OsO6 (PBE-GGA).

Lattice parameters (Å, degrees): 6.825 6.825 6.763 99.42 99.42 120.10
Site moments in Bohr magnetons follow the coordinates.
Atoms (fractional coordinates):
1 Cs 0.165 0.835 0.500  0.00
2 Cs 0.500 0.500 0.500  0.00
3 Cs 0.835 0.165 0.500  0.00
4 Rb 0.333 0.667 0.000  0.00
5 Rb 0.667 0.333 0.000  0.00
6 O 0.941 0.710 0.827  0.04
7 O 0.827 0.827 0.180  0.05
8 O 0.710 0.941 0.827  0.04
9 O 0.290 0.059 0.173  0.04
10 O 0.059 0.290 0.173  0.04
11 O 0.173 0.173 0.820  0.05
12 Os 0.000 0.000 0.000  0.65

**N(E_F)**: 0.503 states/eV per atom
**Calculated density**: 5.5 g cm⁻³
**Raw formation energy**: -1.30 eV/atom
**Magnetic moment**: 1.04 μB/f.u.

---

[4]
Entry from the Alexandria database: a relaxed structure of TbNd2Th3Bi6 (PBE-GGA).

Lattice parameters (Å, degrees): 4.587 9.155 10.253 102.81 102.93 90.00
Atoms (fractional coordinates):
1 Bi 0.667 0.583 0.333
2 Bi 0.336 0.918 0.672
3 Bi 0.333 0.417 0.667
4 Bi 0.664 0.082 0.328
5 Bi 0.999 0.244 0.998
6 Bi 0.001 0.756 0.002
7 Th 0.168 0.834 0.336
8 Th 0.500 0.500 0.000
9 Th 0.832 0.166 0.664
10 Tb 0.500 0.000 0.000
11 Nd 0.166 0.333 0.333
12 Nd 0.834 0.667 0.667

**N(E_F)**: 0.552 states/eV per atom
**ΔH_f (0 K)**: -0.751 eV per atom
**Calculated density**: 9.7 g cm⁻³
**Magnetic moment**: 0.00 μB/f.u.

---

[5]
Entry from the Alexandria database: a relaxed structure of NdReC2 (PBE-GGA).

Lattice parameters (Å, degrees): 3.285 3.285 5.973 74.04 74.04 60.00
Atoms (fractional coordinates):
1 Nd 0.000 0.000 0.000
2 Re 0.500 0.500 0.500
3 C 0.768 0.768 0.697
4 C 0.232 0.232 0.303

**N(E_F)**: 0.206 states/eV per atom
**ΔH_f (0 K)**: 0.271 eV per atom
**Calculated density**: 11.1 g cm⁻³
**E above lowest polymorph**: 0 meV per atom
**Magnetic moment**: 0.00 μB/f.u.

---

[6]
Entry from the Alexandria database: a relaxed structure of TbDyScOs (PBE-GGA).

Lattice parameters (Å, degrees): 5.032 5.032 5.032 60.00 60.00 60.00
Atoms (fractional coordinates):
1 Sc 0.250 0.250 0.250
2 Dy 0.000 0.000 0.000
3 Tb 0.500 0.500 0.500
4 Os 0.750 0.750 0.750

**N(E_F)**: 1.042 states/eV per atom
**ΔH_f (0 K)**: 0.019 eV per atom
**Calculated density**: 10.3 g cm⁻³
**Magnetic moment**: 0.00 μB/f.u.

---

- What is the calculated density in the second record?
  8.4 g cm⁻³